Entry 1:
The following is a DFT calculation (meta-GGA SCAN) of a crystal of BaTePb relaxed with PBEsol.

a b c (Å): 4.2484 5.3717 5.3717
angles (deg): 120.00 90.00 90.00
Sites, in units of the cell vectors:
Pb  0.5006  0.3333  0.6667
Ba  0.0000  0.0000  0.0000
Te  0.4994  0.6667  0.3333

For the mass density, the calculation gives 7.4 g/cm3. The calculation puts the total magnetic moment at 0.00 μB/f.u. Its space group is P-6m2 (187).



Entry 2:
The following is a DFT calculation (meta-GGA SCAN) of a crystal of BaTe3Pb relaxed with PBEsol.

a b c (Å): 5.7947 5.7947 5.7947
angles (deg): 90.00 90.00 90.00
Sites, in units of the cell vectors:
Ba  0.5000  0.5000  0.5000
Te  0.0000  0.5000  0.0000
Te  0.0000  0.0000  0.5000
Te  0.5000  0.0000  0.0000
Pb  0.0000  0.0000  0.0000

For the mass density, the calculation gives 6.2 g/cm3. The calculation puts the total magnetic moment at 0.00 μB/f.u. Its space group is Pm-3m (221).



Entry 3:
The following is a DFT calculation (meta-GGA SCAN) of a crystal of Ba2TePb relaxed with PBEsol.

a b c (Å): 4.3280 5.6353 6.8180
angles (deg): 97.31 108.51 90.00
Sites, in units of the cell vectors:
Ba  0.0005  0.1479  0.0010
Ba  0.2500  0.5990  0.4999
Te  0.7273  0.0862  0.4547
Pb  0.5222  0.6669  0.0444

For the mass density, the calculation gives 6.5 g/cm3. The calculation puts the total magnetic moment at 0.00 μB/f.u. Its space group is Cm (8).



Entry 4:
The following is a DFT calculation (meta-GGA SCAN) of a crystal of BaTe2Pb relaxed with PBEsol.

a b c (Å): 4.5216 4.9716 6.7743
angles (deg): 90.05 109.50 90.00
Sites, in units of the cell vectors:
Te  0.0171  0.8736  0.0341
Te  0.7584  0.3604  0.5168
Ba  0.4800  0.3737  0.9600
Pb  0.2445  0.8923  0.4891

For the mass density, the calculation gives 6.9 g/cm3. The calculation puts the total magnetic moment at 0.00 μB/f.u. Its space group is Cm (8).



Entry 5:
The following is a DFT calculation (meta-GGA SCAN) of a crystal of BaTePb relaxed with PBEsol.

a b c (Å): 5.5301 5.5301 5.5301
angles (deg): 60.00 60.00 60.00
Sites, in units of the cell vectors:
Ba  0.5000  0.5000  0.5000
Te  0.0000  0.0000  0.0000
Pb  0.2500  0.2500  0.2500

For the mass density, the calculation gives 6.6 g/cm3. The calculation puts the total magnetic moment at 0.00 μB/f.u. Its space group is F-43m (216).



Entry 6:
The following is a DFT calculation (meta-GGA SCAN) of a crystal of Ba2TePb relaxed with PBEsol.

a b c (Å): 4.9251 4.9251 7.0180
angles (deg): 110.54 110.54 90.00
Sites, in units of the cell vectors:
Ba  0.0000  0.0000  0.0000
Ba  0.7500  0.2500  0.5000
Te  0.2500  0.7500  0.5000
Pb  0.5000  0.5000  0.0000

For the mass density, the calculation gives 6.8 g/cm3. The calculation puts the total magnetic moment at 0.00 μB/f.u. Its space group is I-4m2 (119).



| no. | ΔE_f (raw) (kJ per mole of atoms) | total energy (eV/atom) |
| --- | --- | --- |
| 1 | -82.34 | -51.714 |
| 2 | -54.01 | -45.977 |
| 3 | -107.35 | -49.146 |
| 4 | -110.31 | -48.602 |
| 5 | -55.05 | -51.431 |
| 6 | -94.77 | -49.015 |